1.
This record from the Alexandria database describes a geometry-optimized AcSm2ErTm structure. The functional is PBE.

Lattice parameters (Å, degrees): 5.8445 9.8265 6.3955 109.39 90.00 90.00
Closest atoms and distances in Å follow each position.
Atoms (fractional coordinates):
Ac1 0.2500 0.1059 0.9688  4 Er 3.65-3.81, 3 Tm 3.65-3.86, 3 Sm 3.67-3.68, 2 Ac 3.69
Ac2 0.7500 0.8941 0.0312  4 Er 3.65-3.81, 3 Tm 3.65-3.86, 3 Sm 3.67-3.68, 2 Ac 3.69
Sm1 0.7500 0.6987 0.4326  3 Er 3.59-3.78, 3 Tm 3.60, 4 Sm 3.60-3.73, 2 Ac 3.67-3.68
Sm2 0.2500 0.3013 0.5674  3 Er 3.59-3.78, 3 Tm 3.60, 4 Sm 3.60-3.73, 2 Ac 3.67-3.68
Sm3 0.7500 0.4971 0.8352  6 Sm 3.59-3.73, 4 Tm 3.61-3.66, 1 Er 3.63, 1 Ac 3.68
Sm4 0.2500 0.5029 0.1648  6 Sm 3.59-3.73, 4 Tm 3.61-3.66, 1 Er 3.63, 1 Ac 3.68
Er1 0.2500 0.8939 0.3720  4 Sm 3.59-3.78, 4 Ac 3.65-3.81, 2 Er 3.65, 2 Tm 3.65-3.78
Er2 0.7500 0.1061 0.6280  4 Sm 3.59-3.78, 4 Ac 3.65-3.81, 2 Er 3.65, 2 Tm 3.65-3.78
Tm1 0.2500 0.6896 0.7564  7 Sm 3.60-3.66, 3 Ac 3.65-3.86, 2 Er 3.65-3.78
Tm2 0.7500 0.3104 0.2436  7 Sm 3.60-3.66, 3 Ac 3.65-3.86, 2 Er 3.65-3.78

Properties
Magnetic moment, μB per formula unit: 0.000
Crystal system: monoclinic
Calculated density, Mg/m³: 8.3
DFT total energy, eV/cell: -44.704

=====

2.
This record from the Alexandria database describes a geometry-optimized AcSm5Er2Tm structure. The functional is PBE.

Lattice parameters (Å, degrees): 5.7718 9.1705 12.0992 90.00 90.00 108.34
Closest atoms and distances in Å follow each position.
Atoms (fractional coordinates):
Ac1 0.6147 0.2295 0.9243  2 Er 3.51, 5 Sm 3.53-3.89, 2 Tm 3.74
Ac2 0.3853 0.7705 0.4243  2 Er 3.51, 5 Sm 3.53-3.89, 2 Tm 3.74
Sm1 0.4191 0.8383 0.0889  4 Sm 3.49-3.80, 1 Tm 3.53, 4 Er 3.56-3.69
Sm2 0.7676 0.5353 0.7198  3 Sm 3.15-3.49, 1 Er 3.22
Sm3 0.4212 0.8424 0.7640  4 Sm 3.49-3.72, 4 Er 3.52-3.79, 1 Tm 3.53, 1 Ac 3.89
Sm4 0.2316 0.4633 0.6295  2 Sm 3.15, 2 Er 3.23-3.45
Sm5 0.9397 0.8794 0.5721  3 Er 3.27-3.57, 1 Sm 3.49, 2 Ac 3.53
Sm6 0.5809 0.1617 0.5889  4 Sm 3.49-3.80, 1 Tm 3.53, 4 Er 3.56-3.69
Sm7 0.2324 0.4647 0.2198  3 Sm 3.15-3.49, 1 Er 3.22
Sm8 0.5788 0.1576 0.2640  4 Sm 3.49-3.72, 4 Er 3.52-3.79, 1 Tm 3.53, 1 Ac 3.89
Sm9 0.7684 0.5367 0.1295  2 Sm 3.15, 2 Er 3.23-3.45
Sm10 0.0603 0.1206 0.0721  3 Er 3.27-3.57, 1 Sm 3.49, 2 Ac 3.53
Er1 0.8867 0.7734 0.9238  7 Sm 3.22-3.56, 1 Er 3.53
Er2 0.0620 0.1240 0.7772  3 Sm 3.27-3.57, 2 Ac 3.51, 1 Er 3.53
Er3 0.1133 0.2266 0.4238  7 Sm 3.22-3.56, 1 Er 3.53
Er4 0.9380 0.8760 0.2772  3 Sm 3.27-3.57, 2 Ac 3.51, 1 Er 3.53
Tm1 0.7485 0.4969 0.4243  9 Sm 3.53-3.82, 3 Er 3.72-3.75, 2 Ac 3.74
Tm2 0.2515 0.5031 0.9243  9 Sm 3.53-3.82, 3 Er 3.72-3.75, 2 Ac 3.74

Properties
Magnetic moment, μB per formula unit: 0.000
Crystal system: orthorhombic
Calculated density, Mg/m³: 8.1
DFT total energy, eV/cell: -81.021

=====

3.
This record from the Alexandria database describes a geometry-optimized AcSmY6Er2 structure. The functional is PBE.

Lattice parameters (Å, degrees): 9.5846 8.9313 8.9313 117.21 92.74 92.74
Closest atoms and distances in Å follow each position.
Atoms (fractional coordinates):
Ac1 0.2500 0.9679 0.0321  4 Er 3.45-3.58, 6 Y 3.65-3.84
Ac2 0.7500 0.0321 0.9679  4 Er 3.45-3.58, 6 Y 3.65-3.84
Sm1 0.2500 0.4120 0.5880  6 Y 3.46-3.54, 4 Er 3.58-3.87
Sm2 0.7500 0.5880 0.4120  6 Y 3.46-3.54, 4 Er 3.58-3.87
Y1 0.0575 0.1233 0.7530  7 Y 3.44-3.83, 1 Er 3.56, 2 Ac 3.81-3.84
Y2 0.4425 0.2470 0.8767  7 Y 3.44-3.83, 1 Er 3.56, 2 Ac 3.81-3.84
Y3 0.9425 0.8767 0.2470  7 Y 3.44-3.83, 1 Er 3.56, 2 Ac 3.81-3.84
Y4 0.5575 0.7530 0.1233  7 Y 3.44-3.83, 1 Er 3.56, 2 Ac 3.81-3.84
Y5 0.3209 0.9857 0.4450  5 Y 3.26-3.65, 2 Er 3.45-3.50, 1 Sm 3.53, 1 Ac 3.65
Y6 0.1791 0.5550 0.0143  5 Y 3.26-3.65, 2 Er 3.45-3.50, 1 Sm 3.53, 1 Ac 3.65
Y7 0.6791 0.0143 0.5550  5 Y 3.26-3.65, 2 Er 3.45-3.50, 1 Sm 3.53, 1 Ac 3.65
Y8 0.8209 0.4450 0.9857  5 Y 3.26-3.65, 2 Er 3.45-3.50, 1 Sm 3.53, 1 Ac 3.65
Y9 0.1136 0.7097 0.4874  4 Y 3.26-3.51, 3 Er 3.31-3.48, 2 Sm 3.46-3.54
Y10 0.3864 0.5126 0.2903  4 Y 3.26-3.51, 3 Er 3.31-3.48, 2 Sm 3.46-3.54
Y11 0.8864 0.2903 0.5126  4 Y 3.26-3.51, 3 Er 3.31-3.48, 2 Sm 3.46-3.54
Y12 0.6136 0.4874 0.7097  4 Y 3.26-3.51, 3 Er 3.31-3.48, 2 Sm 3.46-3.54
Er1 0.4490 0.8004 0.6890  6 Y 3.31-3.56, 2 Ac 3.45-3.58, 1 Sm 3.58
Er2 0.0510 0.3110 0.1996  6 Y 3.31-3.56, 2 Ac 3.45-3.58, 1 Sm 3.58
Er3 0.5510 0.1996 0.3110  6 Y 3.31-3.56, 2 Ac 3.45-3.58, 1 Sm 3.58
Er4 0.9490 0.6890 0.8004  6 Y 3.31-3.56, 2 Ac 3.45-3.58, 1 Sm 3.58

Properties
Magnetic moment, μB per formula unit: 0.000
Crystal system: monoclinic
Calculated density, Mg/m³: 6.1
DFT total energy, eV/cell: -110.911

=====

4.
This record from the Alexandria database describes a geometry-optimized AcSm2Y5Er structure. The functional is PBE.

Lattice parameters (Å, degrees): 8.8962 8.8962 9.9826 116.46 116.46 90.00
Closest atoms and distances in Å follow each position.
Atoms (fractional coordinates):
Ac1 0.2500 0.2500 0.5000  10 Y 3.68-3.88
Ac2 0.7500 0.7500 0.5000  10 Y 3.68-3.88
Sm1 0.1154 0.3846 0.0000  1 Sm 2.90, 2 Y 3.04
Sm2 0.6154 0.1154 0.0000  1 Sm 2.90, 2 Y 3.04
Sm3 0.3846 0.8846 0.0000  1 Sm 2.90, 2 Y 3.04
Sm4 0.8846 0.6154 0.0000  1 Sm 2.90, 2 Y 3.04
Y1 0.9261 0.4261 0.2634  1 Sm 3.04, 1 Er 3.17
Y2 0.6628 0.1628 0.7366  1 Sm 3.04, 1 Er 3.17
Y3 0.0739 0.5739 0.7366  1 Sm 3.04, 1 Er 3.17
Y4 0.1628 0.0739 0.7366  1 Sm 3.04, 1 Er 3.17
Y5 0.5739 0.6628 0.7366  1 Sm 3.04, 1 Er 3.17
Y6 0.8372 0.9261 0.2634  1 Sm 3.04, 1 Er 3.17
Y7 0.4261 0.3372 0.2634  1 Sm 3.04, 1 Er 3.17
Y8 0.3372 0.8372 0.2634  1 Sm 3.04, 1 Er 3.17
Y9 0.5000 0.5000 0.0000  4 Sm 3.57, 8 Y 3.79, 2 Ac 3.88
Y10 0.0000 0.0000 0.0000  4 Sm 3.57, 8 Y 3.79, 2 Ac 3.88
Er1 0.2500 0.7500 0.5000  4 Y 3.17
Er2 0.7500 0.2500 0.5000  4 Y 3.17

Properties
Magnetic moment, μB per formula unit: 0.003
Crystal system: tetragonal
Calculated density, Mg/m³: 6.2
DFT total energy, eV/cell: -96.320

=====

5.
This record from the Alexandria database describes a geometry-optimized AcSm6YEr2 structure. The functional is PBE.

Lattice parameters (Å, degrees): 9.6906 9.0057 9.0057 117.77 92.94 92.94
Closest atoms and distances in Å follow each position.
Atoms (fractional coordinates):
Ac1 0.2500 0.9720 0.0280  4 Er 3.51-3.60, 6 Sm 3.71-3.92
Ac2 0.7500 0.0280 0.9720  4 Er 3.51-3.60, 6 Sm 3.71-3.92
Sm1 0.0547 0.1248 0.7520  7 Sm 3.47-3.85, 1 Er 3.61, 1 Ac 3.82
Sm2 0.4453 0.2480 0.8752  7 Sm 3.47-3.85, 1 Er 3.61, 1 Ac 3.82
Sm3 0.9453 0.8752 0.2480  7 Sm 3.47-3.85, 1 Er 3.61, 1 Ac 3.82
Sm4 0.5547 0.7520 0.1248  7 Sm 3.47-3.85, 1 Er 3.61, 1 Ac 3.82
Sm5 0.3184 0.9873 0.4445  3 Sm 3.27-3.58, 2 Er 3.46-3.57, 1 Y 3.53
Sm6 0.1816 0.5555 0.0127  3 Sm 3.27-3.58, 2 Er 3.46-3.57, 1 Y 3.53
Sm7 0.6816 0.0127 0.5555  3 Sm 3.27-3.58, 2 Er 3.46-3.57, 1 Y 3.53
Sm8 0.8184 0.4445 0.9873  3 Sm 3.27-3.58, 2 Er 3.46-3.57, 1 Y 3.53
Sm9 0.1188 0.7109 0.4914  4 Sm 3.27-3.57, 3 Er 3.29-3.47, 2 Y 3.47-3.62
Sm10 0.3812 0.5086 0.2891  4 Sm 3.27-3.57, 3 Er 3.29-3.47, 2 Y 3.47-3.62
Sm11 0.8812 0.2891 0.5086  4 Sm 3.27-3.57, 3 Er 3.29-3.47, 2 Y 3.47-3.62
Sm12 0.6188 0.4914 0.7109  4 Sm 3.27-3.57, 3 Er 3.29-3.47, 2 Y 3.47-3.62
Y1 0.2500 0.4119 0.5881  6 Sm 3.47-3.62, 4 Er 3.59-3.85
Y2 0.7500 0.5881 0.4119  6 Sm 3.47-3.62, 4 Er 3.59-3.85
Er1 0.4531 0.7959 0.6841  6 Sm 3.29-3.61, 2 Ac 3.51-3.60, 1 Y 3.59
Er2 0.0469 0.3159 0.2041  6 Sm 3.29-3.61, 2 Ac 3.51-3.60, 1 Y 3.59
Er3 0.5469 0.2041 0.3159  6 Sm 3.29-3.61, 2 Ac 3.51-3.60, 1 Y 3.59
Er4 0.9531 0.6841 0.7959  6 Sm 3.29-3.61, 2 Ac 3.51-3.60, 1 Y 3.59

Properties
Magnetic moment, μB per formula unit: 0.000
Crystal system: monoclinic
Calculated density, Mg/m³: 7.5
DFT total energy, eV/cell: -93.606

=====

6.
This record from the Alexandria database describes a geometry-optimized AcSm5YEr2 structure. The functional is PBE.

Lattice parameters (Å, degrees): 5.5433 12.3703 9.4880 90.00 90.00 102.95
Closest atoms and distances in Å follow each position.
Atoms (fractional coordinates):
Ac1 0.6023 0.2046 0.9255  5 Sm 3.42-3.74
Ac2 0.3977 0.7954 0.4255  5 Sm 3.42-3.74
Sm1 0.3946 0.7892 0.0317  4 Sm 3.28-3.61, 4 Er 3.49-3.61
Sm2 0.7416 0.4833 0.8588  3 Y 3.13-3.23, 1 Ac 3.42, 2 Sm 3.48
Sm3 0.4750 0.9500 0.7534  3 Sm 3.28-3.56, 2 Ac 3.48-3.63, 2 Er 3.50
Sm4 0.3110 0.6219 0.7240  3 Er 3.35-3.39, 3 Y 3.45-3.50, 4 Sm 3.48-3.69, 1 Ac 3.52
Sm5 0.0093 0.0187 0.5351  2 Er 3.41-3.80, 4 Sm 3.56-3.61
Sm6 0.6054 0.2108 0.5317  4 Sm 3.28-3.61, 4 Er 3.49-3.61
Sm7 0.2584 0.5167 0.3588  3 Y 3.13-3.23, 1 Ac 3.42, 2 Sm 3.48
Sm8 0.5250 0.0500 0.2534  3 Sm 3.28-3.56, 2 Ac 3.48-3.63, 2 Er 3.50
Sm9 0.6890 0.3781 0.2240  3 Er 3.35-3.39, 3 Y 3.45-3.50, 4 Sm 3.48-3.69, 1 Ac 3.52
Sm10 0.9907 0.9813 0.0351  2 Er 3.41-3.80, 4 Sm 3.56-3.61
Y1 0.7637 0.5273 0.5340  6 Sm 3.13-3.50
Y2 0.2363 0.4727 0.0340  6 Sm 3.13-3.50
Er1 0.8876 0.7752 0.7887  8 Sm 3.39-3.61
Er2 0.1736 0.3473 0.6728  6 Sm 3.35-3.67, 1 Y 3.75
Er3 0.1124 0.2248 0.2887  8 Sm 3.39-3.61
Er4 0.8264 0.6527 0.1728  6 Sm 3.35-3.67, 1 Y 3.75

Properties
Magnetic moment, μB per formula unit: 0.000
Crystal system: orthorhombic
Calculated density, Mg/m³: 7.3
DFT total energy, eV/cell: -83.880